1.
{"formula": "DyY2SnN4", "functional": "PBE", "state": "optimized geometry", "sg": "P2/m", "raw_formation_energy_ev_per_atom": -1.0672, "lattice": [[6.0143, 0.0000, 0.0000], [0.0000, 3.4741, 0.0000], [-2.0214, 0.0000, 5.6645]], "species": ["Dy", "Y", "Y", "Sn", "N", "N", "N", "N"], "frac_coords": [[0.0000, 0.0000, 0.0000], [0.0000, 0.5000, 0.5000], [0.5000, 0.0000, 0.5000], [0.5000, 0.5000, 0.0000], [0.2442, 0.0000, 0.7449], [0.2452, 0.5000, 0.2537], [0.7548, 0.5000, 0.7463], [0.7558, 0.0000, 0.2551]]}

=====

2.
{"formula": "SrDy2N", "functional": "PBE", "state": "optimized geometry", "sg": "R-3m", "raw_formation_energy_ev_per_atom": -0.6124, "lattice": [[1.7764, 1.0256, 9.7217], [-1.7764, 1.0256, 9.7217], [0.0000, -2.0512, 9.7217]], "species": ["Sr", "Dy", "Dy", "N"], "frac_coords": [[0.0000, 0.0000, 0.0000], [0.1219, 0.1219, 0.1219], [0.8781, 0.8781, 0.8781], [0.5000, 0.5000, 0.5000]]}

=====

3.
{"formula": "Sr2DyN", "functional": "PBE", "state": "optimized geometry", "sg": "R-3m", "raw_formation_energy_ev_per_atom": -0.2106, "lattice": [[1.8438, 1.0645, 10.3737], [-1.8438, 1.0645, 10.3737], [0.0000, -2.1290, 10.3737]], "species": ["Sr", "Sr", "Dy", "N"], "frac_coords": [[0.1214, 0.1214, 0.1214], [0.8786, 0.8786, 0.8786], [0.0000, 0.0000, 0.0000], [0.5000, 0.5000, 0.5000]]}

=====

4.
{"formula": "Sr2DyUN4", "functional": "PBE", "state": "optimized geometry", "sg": "P2/m", "raw_formation_energy_ev_per_atom": -1.2706, "lattice": [[6.0944, 0.0000, 0.0000], [0.0000, 3.5972, 0.0000], [-2.0227, 0.0000, 5.9898]], "species": ["Sr", "Sr", "Dy", "U", "N", "N", "N", "N"], "frac_coords": [[0.0000, 0.0000, 0.0000], [0.5000, 0.5000, 0.0000], [0.0000, 0.5000, 0.5000], [0.5000, 0.0000, 0.5000], [0.2612, 0.0000, 0.6990], [0.2798, 0.5000, 0.2995], [0.7202, 0.5000, 0.7005], [0.7388, 0.0000, 0.3010]]}